DFT (PBE with a Hubbard U) results for a relaxed structure of CaMnTl2F6.

Unit cell a=6.230 b=6.230 c=6.230 alpha=119.91 beta=119.91 gamma=90.15
Fractional coordinates of all 10 atoms:
Ca (0.000, 0.000, 0.000)
Mn (0.500, 0.500, 0.000)
Tl (0.250, 0.750, 0.500)
Tl (0.750, 0.250, 0.500)
F (0.256, 0.256, 0.512)
F (0.256, 0.744, 0.000)
F (0.257, 0.257, 0.000)
F (0.743, 0.743, 0.000)
F (0.744, 0.256, 0.000)
F (0.744, 0.744, 0.488)

Properties
Space group = No. 139
E_tot = -5.246 eV per atom
Magnetic moment = 5.00 μB per formula unit
Crystal system = tetragonal